Entry 1:
The following is a DFT calculation (PBE-GGA) of Ag3PtAu4 after structural relaxation.

Cell: 2.9841 4.8719 19.5497 Å, 90.00 90.00 90.00°
Space group Immm (No. 71)
One atom of each set of equivalent atoms:
Ag 0.0000 0.0000 0.0000 [2 per cell]
Ag 0.0000 0.0000 0.2555 [4 per cell]
Pt 0.0000 0.0000 0.5000 [2 per cell]
Au 0.0000 0.5000 0.1203 [4 per cell]
Au 0.0000 0.5000 0.3708 [4 per cell]

raw total energy: -55.220 eV per cell
Fermi-level density of states: 0.27 states/eV/atom
formation enthalpy at 0 K: 0.272 kcal/mol of atoms
offset from the most stable computed form: 36.8 meV/atom

Entry 2:
The following is a DFT calculation (PBE-GGA) of AgPtAu2 after structural relaxation.

Cell: 2.8810 2.8810 28.6938 Å, 90.00 90.00 120.00°
Space group R-3m (No. 166, hexagonal axes)
One atom of each set of equivalent atoms:
Ag 0.0000 0.0000 0.0000 [3 per cell]
Pt 0.0000 0.0000 0.5000 [3 per cell]
Au 0.0000 0.0000 0.2492 [6 per cell]

raw total energy: -46.311 eV per cell
Fermi-level density of states: 0.40 states/eV/atom
formation enthalpy at 0 K: 0.057 kcal/mol of atoms
offset from the most stable computed form: 19.4 meV/atom

Entry 3:
The following is a DFT calculation (PBE-GGA) of Ag2PtAu8 after structural relaxation.

Cell: 7.9230 12.9990 5.5258 Å, 90.00 132.36 90.00°
Space group C2/m (No. 12)
One atom of each set of equivalent atoms:
Ag 0.0000 0.1959 0.0000 [4 per cell]
Pt 0.0000 0.5000 0.5000 [2 per cell]
Au 0.0000 0.2804 0.5000 [4 per cell]
Au 0.1016 0.0000 0.8703 [4 per cell]
Au 0.2116 0.3884 0.3330 [8 per cell]

raw total energy: -73.668 eV per cell
Fermi-level density of states: 0.30 states/eV/atom
formation enthalpy at 0 K: 2.365 kcal/mol of atoms
offset from the most stable computed form: 112.8 meV/atom